This record from Alexandria via LeMat-Bulk describes Li2TlFe at its PBEsol-relaxed geometry. The functional is SCAN.

Properties
- Density of states at the Fermi level: 0.36 states/eV/atom
- Formation enthalpy at 0 K: 0.119 eV per atom
- E: -23.698 eV/atom

```
Li2TlFe
1.0
2.880 0.000 0.000
0.000 4.662 0.000
-0.545 0.000 4.822
Li Tl Fe
2 1 1
direct
0.248 0.000 0.267
0.752 0.000 0.733
0.500 0.500 0.000
0.000 0.500 0.500
```

This record from Alexandria via LeMat-Bulk describes LiTl4Fe at its PBEsol-relaxed geometry. The functional is SCAN.

Properties
- Density of states at the Fermi level: 1.17 states/eV/atom
- Formation enthalpy at 0 K: 0.588 eV per atom
- E: -51.071 eV/atom

```
LiTl4Fe
1.0
0.000 4.315 4.315
4.315 0.000 4.315
4.315 4.315 0.000
Li Tl Fe
1 4 1
direct
0.000 0.000 0.000
0.375 0.375 0.375
0.375 0.375 0.874
0.375 0.874 0.375
0.874 0.375 0.375
0.750 0.750 0.750
```

This record from Alexandria via LeMat-Bulk describes Li2TlFe at its PBEsol-relaxed geometry. The functional is SCAN.

Properties
- Density of states at the Fermi level: 0.21 states/eV/atom
- Formation enthalpy at 0 K: 0.036 eV per atom
- E: -23.781 eV/atom

```
Li2TlFe
1.0
-1.908 1.908 4.417
1.908 -1.908 4.417
1.908 1.908 -4.417
Li Tl Fe
2 1 1
direct
0.250 0.750 0.500
0.750 0.250 0.500
0.000 0.000 0.000
0.500 0.500 0.000
```

This record from Alexandria via LeMat-Bulk describes LiFeW at its PBEsol-relaxed geometry. The functional is SCAN.

Properties
- Density of states at the Fermi level: 0.72 states/eV/atom
- Formation enthalpy at 0 K: 1.577 eV per atom
- ΔE to the lowest computed polymorph: 1.195 eV per atom
- E: -28.492 eV/atom

```
LiFeW
1.0
0.000 2.648 2.648
2.648 0.000 2.648
2.648 2.648 0.000
Li Fe W
1 1 1
direct
0.000 0.000 0.000
0.250 0.250 0.250
0.750 0.750 0.750
```

Total moment, record by record: 0.6742; 0.5309; 0.7733; 0.0007 μB/atom